Entry 1:
## Pm15Dy4Mg (PBE)

Data for Pm15Dy4Mg after structural relaxation.

Results
Space group: P4/mmm (123)
Electronic total energy (eV for the cell shown): -91.05

Unit cell a=5.0985 b=5.0985 c=25.5727 alpha=90.00 beta=90.00 gamma=90.00
Last column: nearest neighbours and their distance in Å.
Sites, in units of the cell vectors:
Pm  0.0000  0.0000  0.0000  8 Pm 3.58, 4 Mg 3.61
Pm  0.0000  0.0000  0.1970  8 Pm 3.59-3.64, 4 Dy 3.61
Pm  0.0000  0.0000  0.3989  4 Dy 3.61, 8 Pm 3.62-3.63
Pm  0.0000  0.0000  0.6011  4 Dy 3.61, 8 Pm 3.62-3.63
Pm  0.0000  0.0000  0.8030  8 Pm 3.59-3.64, 4 Dy 3.61
Pm  0.0000  0.5000  0.0981  2 Mg 3.58, 8 Pm 3.58-3.61, 2 Dy 3.60
Pm  0.0000  0.5000  0.2987  8 Pm 3.61-3.64, 4 Dy 3.62-3.63
Pm  0.0000  0.5000  0.5000  8 Pm 3.61-3.63, 4 Dy 3.62
Pm  0.0000  0.5000  0.7013  8 Pm 3.61-3.64, 4 Dy 3.62-3.63
Pm  0.0000  0.5000  0.9019  2 Mg 3.58, 8 Pm 3.58-3.61, 2 Dy 3.60
Pm  0.5000  0.0000  0.0981  2 Mg 3.58, 8 Pm 3.58-3.61, 2 Dy 3.60
Pm  0.5000  0.0000  0.2987  8 Pm 3.61-3.64, 4 Dy 3.62-3.63
Pm  0.5000  0.0000  0.5000  8 Pm 3.61-3.63, 4 Dy 3.62
Pm  0.5000  0.0000  0.7013  8 Pm 3.61-3.64, 4 Dy 3.62-3.63
Pm  0.5000  0.0000  0.9019  2 Mg 3.58, 8 Pm 3.58-3.61, 2 Dy 3.60
Dy  0.5000  0.5000  0.1977  12 Pm 3.60-3.63
Dy  0.5000  0.5000  0.3994  12 Pm 3.61-3.62
Dy  0.5000  0.5000  0.6006  12 Pm 3.61-3.62
Dy  0.5000  0.5000  0.8023  12 Pm 3.60-3.63
Mg  0.5000  0.5000  0.0000  12 Pm 3.58-3.61


Entry 2:
## GePt2I2 (PBE)

Data for GePt2I2 after structural relaxation.

Results
Space group: I4/mmm (139)
ΔE to the lowest computed polymorph (meV per atom): 116

Unit cell a=5.5863 b=5.5863 c=5.5863 alpha=117.67 beta=117.67 gamma=94.08
Last column: nearest neighbours and their distance in Å.
Sites, in units of the cell vectors:
Ge  0.0000  0.0000  0.0000  2 Pt 2.34
Pt  0.3077  0.3077  0.0000  1 Ge 2.34
Pt  0.6923  0.6923  0.0000  1 Ge 2.34
I  0.2500  0.7500  0.5000  4 Pt 2.92
I  0.7500  0.2500  0.5000  4 Pt 2.92


Entry 3:
## OsPbSe2 (PBE)

Data for OsPbSe2 after structural relaxation.

Results
Space group: Immm (71)
Electronic total energy (eV for the cell shown): -21.10

Unit cell a=5.9399 b=5.9399 c=5.9399 alpha=145.01 beta=123.74 gamma=68.00
Last column: nearest neighbours and their distance in Å.
Sites, in units of the cell vectors:
Os  0.0000  0.0000  0.0000  4 Se 2.45
Pb  0.5000  0.5000  0.0000  4 Se 3.26, 4 Os 3.32, 2 Pb 3.57
Se  0.1698  0.6698  0.5000  2 Os 2.45
Se  0.8302  0.3302  0.5000  2 Os 2.45


Entry 4:
## Ce2Nd2Tl7 (PBE)

Data for Ce2Nd2Tl7 after structural relaxation.

Results
Space group: Cmmm (65)
Electronic total energy (eV for the cell shown): -36.93

Unit cell a=7.1033 b=7.1033 c=7.6837 alpha=90.00 beta=90.00 gamma=103.39
Last column: nearest neighbours and their distance in Å.
Sites, in units of the cell vectors:
Ce  0.2010  0.7990  0.0000  7 Tl 3.19-3.33
Ce  0.7990  0.2010  0.0000  7 Tl 3.19-3.33
Nd  0.3139  0.3139  0.5000  6 Tl 3.18-3.25, 1 Nd 3.28
Nd  0.6861  0.6861  0.5000  6 Tl 3.18-3.25, 1 Nd 3.28
Tl  0.0000  0.0000  0.2959  1 Tl 3.14, 2 Nd 3.18, 2 Ce 3.19
Tl  0.0000  0.0000  0.7041  1 Tl 3.14, 2 Nd 3.18, 2 Ce 3.19
Tl  0.0000  0.5000  0.2958  1 Tl 3.14, 2 Ce 3.21, 2 Nd 3.25
Tl  0.0000  0.5000  0.7042  1 Tl 3.14, 2 Ce 3.21, 2 Nd 3.25
Tl  0.5000  0.0000  0.2958  1 Tl 3.14, 2 Ce 3.21, 2 Nd 3.25
Tl  0.5000  0.0000  0.7042  1 Tl 3.14, 2 Ce 3.21, 2 Nd 3.25
Tl  0.5000  0.5000  0.0000  2 Ce 3.33


Entry 5:
## BaMnCr2 (PBE)

Data for BaMnCr2 after structural relaxation.

Results
Space group: R-3m (166)
ΔE to the lowest computed polymorph (meV per atom): 82

Unit cell a=6.5586 b=6.5586 c=6.5586 alpha=36.35 beta=36.35 gamma=36.35
Last column: nearest neighbours and their distance in Å.
Sites, in units of the cell vectors:
Ba  0.0000  0.0000  0.0000  8 Cr 3.50-3.53, 6 Mn 3.87
Mn  0.5000  0.5000  0.5000  6 Cr 2.40
Cr  0.1906  0.1906  0.1906  3 Mn 2.40, 3 Cr 2.52
Cr  0.8094  0.8094  0.8094  3 Mn 2.40, 3 Cr 2.52


Entry 6:
## LiHgPb4 (PBE)

Data for LiHgPb4 after structural relaxation.

Results
Space group: F-43m (216)
ΔE to the lowest computed polymorph (meV per atom): 121

Unit cell a=6.4897 b=6.4897 c=6.4897 alpha=60.00 beta=60.00 gamma=60.00
Last column: nearest neighbours and their distance in Å.
Sites, in units of the cell vectors:
Li  0.0000  0.0000  0.0000  12 Pb 3.80, 4 Hg 3.97
Hg  0.2500  0.2500  0.2500  12 Pb 3.81, 4 Li 3.97
Pb  0.1243  0.6252  0.6252  6 Pb 3.24-3.25
Pb  0.6252  0.1243  0.6252  6 Pb 3.24-3.25
Pb  0.6252  0.6252  0.1243  6 Pb 3.24-3.25
Pb  0.6252  0.6252  0.6252  6 Pb 3.24-3.25


Entry 7:
## Li2Al2Pd7 (PBE)

Data for Li2Al2Pd7 after structural relaxation.

Results
Space group: C2/m (12)
Electronic total energy (eV for the cell shown): -53.75

Unit cell a=7.9571 b=7.9571 c=2.8752 alpha=100.35 beta=100.35 gamma=67.85
Last column: nearest neighbours and their distance in Å.
Sites, in units of the cell vectors:
Li  0.2043  0.2043  0.2058  8 Pd 2.62-2.92, 2 Li 2.88
Li  0.7957  0.7957  0.7942  8 Pd 2.62-2.92, 2 Li 2.88
Al  0.2526  0.7474  0.0000  8 Pd 2.50-2.66
Al  0.7474  0.2526  0.0000  8 Pd 2.50-2.66
Pd  0.0000  0.0000  0.5000  4 Al 2.66, 6 Pd 2.88-2.94
Pd  0.0788  0.6035  0.3397  2 Al 2.50-2.51, 2 Li 2.62, 2 Pd 2.76-2.77
Pd  0.3890  0.3890  0.8861  2 Al 2.62, 2 Li 2.78-2.79, 7 Pd 2.80-2.88
Pd  0.3965  0.9212  0.6603  2 Al 2.50-2.51, 2 Li 2.62, 2 Pd 2.76-2.77
Pd  0.6035  0.0788  0.3397  2 Al 2.50-2.51, 2 Li 2.62, 2 Pd 2.76-2.77
Pd  0.6110  0.6110  0.1139  2 Al 2.62, 2 Li 2.78-2.79, 7 Pd 2.80-2.88
Pd  0.9212  0.3965  0.6603  2 Al 2.50-2.51, 2 Li 2.62, 2 Pd 2.76-2.77


Entry 8:
## OsPbS3 (PBE)

Data for OsPbS3 after structural relaxation.

Results
Space group: Pm-3m (221)
ΔE to the lowest computed polymorph (meV per atom): 0

Unit cell a=4.7091 b=4.7091 c=4.7091 alpha=90.00 beta=90.00 gamma=90.00
Last column: nearest neighbours and their distance in Å.
Sites, in units of the cell vectors:
Os  0.0000  0.0000  0.0000  6 S 2.35
Pb  0.5000  0.5000  0.5000  12 S 3.33
S  0.0000  0.0000  0.5000  2 Os 2.35
S  0.0000  0.5000  0.0000  2 Os 2.35
S  0.5000  0.0000  0.0000  2 Os 2.35